No. 1
{
  "formula": "Ba2PmSmSe4",
  "functional": "PBE-GGA",
  "state": "relaxed",
  "lattice_angstrom": [[4.3688, 0.0000, 0.0000], [0.0000, 7.5466, 0.1232], [0.0000, -2.6493, 7.3804]],
  "species": ["Se", "Se", "Ba", "Pm", "Se", "Ba", "Sm", "Se"],
  "frac_coords": [[0.0000, 0.7412, 0.2197], [0.0000, 0.2588, 0.7803], [0.5000, 0.0000, 0.5000], [0.5000, 0.5000, 0.0000], [0.5000, 0.7611, 0.7809], [0.0000, 0.5000, 0.5000], [0.0000, 0.0000, 0.0000], [0.5000, 0.2389, 0.2191]],
  "formation_energy_uncorrected_ev_per_atom": -1.9095
}

=====

No. 2
{
  "formula": "Ba3Pm3SmSe8",
  "functional": "PBE-GGA",
  "state": "relaxed",
  "lattice_angstrom": [[8.6146, 0.0000, 0.0000], [-4.3073, 7.4612, -0.0269], [0.0000, -4.9464, 7.5736]],
  "species": ["Se", "Pm", "Pm", "Se", "Se", "Ba", "Se", "Se", "Se", "Se", "Sm", "Pm", "Se", "Ba", "Ba"],
  "frac_coords": [[0.2386, 0.4772, 0.7170], [0.0000, 0.5000, 0.5000], [0.5000, 0.5000, 0.5000], [0.7404, 0.4808, 0.7209], [0.2388, 0.9782, 0.7165], [0.0000, 0.0000, 0.0000], [0.7612, 0.0218, 0.2835], [0.2596, 0.5192, 0.2791], [0.2606, 0.0218, 0.2835], [0.7614, 0.5228, 0.2830], [0.0000, 0.0000, 0.5000], [0.5000, 0.0000, 0.5000], [0.7394, 0.9782, 0.7165], [0.0000, 0.5000, 0.0000], [0.5000, 0.5000, 0.0000]],
  "formation_energy_uncorrected_ev_per_atom": -1.9403
}

=====

No. 3
{
  "formula": "BaPm4SmSe8",
  "functional": "PBE-GGA",
  "state": "relaxed",
  "lattice_angstrom": [[-2.2401, -0.1652, -8.5072], [-4.7489, -6.6947, -3.1697], [-8.3645, 1.2745, -2.3724]],
  "species": ["Pm", "Sm", "Ba", "Se", "Se", "Pm", "Se", "Se", "Se", "Pm", "Se", "Se", "Se", "Pm"],
  "frac_coords": [[0.4953, 0.0016, 0.5015], [0.0016, 0.0016, 0.9952], [0.3752, 0.3752, 0.8743], [0.7582, 0.7582, 0.2562], [0.7573, 0.7573, 0.7281], [0.0016, 0.0016, 0.5015], [0.2332, 0.7982, 0.7353], [0.2341, 0.2341, 0.2978], [0.2274, 0.7582, 0.2562], [0.0016, 0.4953, 0.5015], [0.2332, 0.2332, 0.7353], [0.7982, 0.2332, 0.7353], [0.7582, 0.2274, 0.2562], [0.6249, 0.6249, 0.1254]],
  "formation_energy_uncorrected_ev_per_atom": -1.7946
}

=====

No. 4
{
  "formula": "Ba3PmSm2Se6",
  "functional": "PBE-GGA",
  "state": "relaxed",
  "lattice_angstrom": [[7.5517, 0.0024, 0.0001], [-3.7719, 6.5423, 0.0001], [-1.2607, -2.1829, 7.4172]],
  "species": ["Se", "Pm", "Ba", "Sm", "Ba", "Se", "Se", "Ba", "Sm", "Se", "Se", "Se"],
  "frac_coords": [[0.9269, 0.5923, 0.7807], [0.0000, 0.0000, 0.0000], [0.5000, 0.5000, 0.5000], [0.6667, 0.3333, 0.0000], [0.1663, 0.8337, 0.5000], [0.0731, 0.4077, 0.2193], [0.4077, 0.0731, 0.2193], [0.8337, 0.1663, 0.5000], [0.3333, 0.6667, 0.0000], [0.5923, 0.9269, 0.7807], [0.7384, 0.7384, 0.2190], [0.2616, 0.2616, 0.7810]],
  "formation_energy_uncorrected_ev_per_atom": -1.9090
}

=====

No. 5
{
  "formula": "Ba2SrPmSe4",
  "functional": "PBE-GGA",
  "state": "relaxed",
  "lattice_angstrom": [[-1.1568, -0.9915, -4.2003], [1.6470, -7.4753, 1.3110], [-7.5485, 1.3189, 1.7676]],
  "species": ["Se", "Ba", "Ba", "Sr", "Se", "Se", "Se", "Pm"],
  "frac_coords": [[0.5000, 0.2519, 0.2270], [0.0000, 0.5000, 0.5000], [0.5000, 0.0000, 0.5000], [0.0000, 0.0000, 0.0000], [0.0000, 0.7331, 0.2230], [0.0000, 0.2669, 0.7770], [0.5000, 0.7481, 0.7730], [0.5000, 0.5000, 0.0000]],
  "formation_energy_uncorrected_ev_per_atom": -1.9710
}

=====

No. 6
{
  "formula": "Ba3Tb2PmSe6",
  "functional": "PBE-GGA",
  "state": "relaxed",
  "lattice_angstrom": [[-4.6923, 2.9317, -5.0533], [-2.5176, -1.8505, 6.8107], [4.0185, 6.4285, 1.8546]],
  "species": ["Ba", "Ba", "Tb", "Se", "Se", "Se", "Tb", "Pm", "Ba", "Se", "Se", "Se"],
  "frac_coords": [[0.1648, 0.8352, 0.5000], [0.8352, 0.1648, 0.5000], [0.6672, 0.3328, 0.0000], [0.0720, 0.4110, 0.2159], [0.9280, 0.5890, 0.7841], [0.5890, 0.9280, 0.7841], [0.3328, 0.6672, 0.0000], [0.0000, 0.0000, 0.0000], [0.5000, 0.5000, 0.5000], [0.7323, 0.7323, 0.2142], [0.2677, 0.2677, 0.7858], [0.4110, 0.0720, 0.2159]],
  "formation_energy_uncorrected_ev_per_atom": -1.8959
}

=====

No. 7
{
  "formula": "Ba2TbPmSe4",
  "functional": "PBE-GGA",
  "state": "relaxed",
  "lattice_angstrom": [[-2.5887, -0.1487, 3.4830], [4.7031, -4.8376, 3.2889], [2.1434, 7.2753, 1.9037]],
  "species": ["Se", "Ba", "Se", "Pm", "Tb", "Se", "Ba", "Se"],
  "frac_coords": [[0.0000, 0.7441, 0.2179], [0.0000, 0.5000, 0.5000], [0.5000, 0.2341, 0.2153], [0.5000, 0.5000, 0.0000], [0.0000, 0.0000, 0.0000], [0.0000, 0.2559, 0.7821], [0.5000, 0.0000, 0.5000], [0.5000, 0.7659, 0.7847]],
  "formation_energy_uncorrected_ev_per_atom": -1.8987
}

=====

No. 8
{
  "formula": "BaTbPm4Se8",
  "functional": "PBE-GGA",
  "state": "relaxed",
  "lattice_angstrom": [[8.7936, 0.0000, 0.0000], [4.3968, 7.6155, 0.0000], [4.3968, 2.5385, 7.1163]],
  "species": ["Pm", "Ba", "Pm", "Se", "Se", "Pm", "Se", "Se", "Se", "Se", "Se", "Se", "Pm", "Tb"],
  "frac_coords": [[0.6245, 0.6245, 0.1265], [0.3764, 0.3764, 0.8709], [0.4952, 0.0016, 0.5015], [0.2303, 0.7994, 0.7399], [0.7607, 0.2259, 0.2527], [0.0016, 0.4952, 0.5015], [0.7607, 0.7607, 0.2527], [0.2345, 0.2345, 0.2965], [0.2303, 0.2303, 0.7399], [0.7994, 0.2303, 0.7399], [0.2259, 0.7607, 0.2527], [0.7572, 0.7572, 0.7285], [0.0016, 0.0016, 0.5015], [0.0016, 0.0016, 0.9953]],
  "formation_energy_uncorrected_ev_per_atom": -1.7935
}

=====

No. 9
{
  "formula": "Ba3TbPm2Se6",
  "functional": "PBE-GGA",
  "state": "relaxed",
  "lattice_angstrom": [[-1.5617, 6.1597, -4.0462], [-1.5850, -6.8228, -2.7730], [-5.6814, 0.5347, 5.3490]],
  "species": ["Se", "Pm", "Se", "Pm", "Tb", "Ba", "Se", "Ba", "Se", "Se", "Se", "Ba"],
  "frac_coords": [[0.0722, 0.4000, 0.2171], [0.3340, 0.6660, 0.0000], [0.7455, 0.7455, 0.2190], [0.6660, 0.3340, 0.0000], [0.0000, 0.0000, 0.0000], [0.1685, 0.8315, 0.5000], [0.4000, 0.0722, 0.2171], [0.8315, 0.1685, 0.5000], [0.9278, 0.6000, 0.7829], [0.2545, 0.2545, 0.7810], [0.6000, 0.9278, 0.7829], [0.5000, 0.5000, 0.5000]],
  "formation_energy_uncorrected_ev_per_atom": -1.9047
}

=====

No. 10
{
  "formula": "BaPmTm4Se8",
  "functional": "PBE-GGA",
  "state": "relaxed",
  "lattice_angstrom": [[8.5128, 0.0000, 0.0000], [4.2564, 7.3723, 0.0000], [4.2564, 2.4574, 7.0936]],
  "species": ["Tm", "Tm", "Pm", "Tm", "Se", "Se", "Ba", "Se", "Se", "Se", "Se", "Se", "Tm", "Se"],
  "frac_coords": [[0.4956, 0.0013, 0.5017], [0.0013, 0.0013, 0.5017], [0.0022, 0.0022, 0.9933], [0.0013, 0.4956, 0.5017], [0.2309, 0.2309, 0.3074], [0.8004, 0.2394, 0.7208], [0.3717, 0.3717, 0.8850], [0.2320, 0.7514, 0.2652], [0.2394, 0.2394, 0.7208], [0.7574, 0.7574, 0.7278], [0.7514, 0.2320, 0.2652], [0.2394, 0.8004, 0.7208], [0.6255, 0.6255, 0.1235], [0.7514, 0.7514, 0.2652]],
  "formation_energy_uncorrected_ev_per_atom": -1.7476
}

=====

No. 11
{
  "formula": "Ba3Pm2TmSe6",
  "functional": "PBE-GGA",
  "state": "relaxed",
  "lattice_angstrom": [[-6.5348, 3.5685, -0.9639], [0.0714, -7.3802, 1.3764], [1.8238, 2.6220, 7.1186]],
  "species": ["Pm", "Ba", "Ba", "Se", "Se", "Se", "Se", "Tm", "Se", "Ba", "Se", "Pm"],
  "frac_coords": [[0.6657, 0.3343, 0.0000], [0.1700, 0.8300, 0.5000], [0.5000, 0.5000, 0.5000], [0.7498, 0.7498, 0.2177], [0.2502, 0.2502, 0.7823], [0.3946, 0.0712, 0.2145], [0.6054, 0.9288, 0.7855], [0.0000, 0.0000, 0.0000], [0.9288, 0.6054, 0.7855], [0.8300, 0.1700, 0.5000], [0.0712, 0.3946, 0.2145], [0.3343, 0.6657, 0.0000]],
  "formation_energy_uncorrected_ev_per_atom": -1.8883
}

=====

No. 12
{
  "formula": "Ba3PmTm3Se8",
  "functional": "PBE-GGA",
  "state": "relaxed",
  "lattice_angstrom": [[-2.2855, 1.8441, 7.8642], [-5.8137, -0.6625, -6.0113], [3.9137, -7.4815, 2.8922]],
  "species": ["Pm", "Se", "Se", "Se", "Se", "Ba", "Se", "Se", "Tm", "Se", "Ba", "Tm", "Tm", "Ba", "Se"],
  "frac_coords": [[0.0000, 0.0000, 0.5000], [0.7363, 0.4725, 0.7088], [0.2637, 0.5275, 0.2912], [0.2438, 0.4876, 0.7125], [0.7562, 0.5124, 0.2875], [0.0000, 0.0000, 0.0000], [0.2749, 0.0311, 0.2874], [0.7561, 0.0312, 0.2873], [0.5000, 0.5000, 0.5000], [0.2439, 0.9688, 0.7127], [0.0000, 0.5000, 0.0000], [0.0000, 0.5000, 0.5000], [0.5000, 0.0000, 0.5000], [0.5000, 0.5000, 0.0000], [0.7251, 0.9689, 0.7126]],
  "formation_energy_uncorrected_ev_per_atom": -1.9015
}

=====

No. 13
{
  "formula": "Ba2PmTmSe4",
  "functional": "PBE-GGA",
  "state": "relaxed",
  "lattice_angstrom": [[-0.0142, -3.8069, -2.0282], [7.1991, 0.9165, -1.7706], [-0.4277, -3.6592, 6.8711]],
  "species": ["Se", "Ba", "Pm", "Se", "Ba", "Tm", "Se", "Se"],
  "frac_coords": [[0.0000, 0.2527, 0.7843], [0.0000, 0.5000, 0.5000], [0.5000, 0.5000, 0.0000], [0.0000, 0.7473, 0.2157], [0.5000, 0.0000, 0.5000], [0.0000, 0.0000, 0.0000], [0.5000, 0.7709, 0.7890], [0.5000, 0.2291, 0.2110]],
  "formation_energy_uncorrected_ev_per_atom": -1.8724
}

=====

No. 14
{
  "formula": "Ba2PmUSe6",
  "functional": "PBE-GGA",
  "state": "relaxed",
  "lattice_angstrom": [[7.4996, 0.0000, -0.0326], [0.0000, 7.9419, 0.0000], [0.0199, 0.0000, 10.8865]],
  "species": ["Se", "Se", "Ba", "U", "Se", "Se", "U", "Se", "Pm", "Ba", "Se", "Ba", "Se", "Pm", "Se", "Se", "Ba", "Se", "Se", "Se"],
  "frac_coords": [[0.4053, 0.9786, 0.7424], [0.2973, 0.6914, 0.0485], [0.4766, 0.4246, 0.2500], [0.0000, 0.5000, 0.0000], [0.7973, 0.8086, 0.5485], [0.3131, 0.7064, 0.4497], [0.5000, 0.0000, 0.5000], [0.0947, 0.4786, 0.7576], [0.0000, 0.5000, 0.5000], [0.5234, 0.5754, 0.7500], [0.1869, 0.2064, 0.0503], [0.9766, 0.0754, 0.7500], [0.9053, 0.5214, 0.2424], [0.5000, 0.0000, 0.0000], [0.5947, 0.0214, 0.2576], [0.8131, 0.7936, 0.9497], [0.0234, 0.9246, 0.2500], [0.2027, 0.1914, 0.4515], [0.7027, 0.3086, 0.9515], [0.6869, 0.2936, 0.5503]],
  "formation_energy_uncorrected_ev_per_atom": -1.7055
}

=====

No. 15
{
  "formula": "Ba2PmYSe4",
  "functional": "PBE-GGA",
  "state": "relaxed",
  "lattice_angstrom": [[4.3387, 0.0000, 0.0000], [0.0000, 7.4993, 0.1245], [0.0000, -2.6311, 7.3591]],
  "species": ["Se", "Se", "Se", "Pm", "Y", "Ba", "Se", "Ba"],
  "frac_coords": [[0.0000, 0.2556, 0.7823], [0.5000, 0.7663, 0.7850], [0.0000, 0.7444, 0.2177], [0.5000, 0.5000, 0.0000], [0.0000, 0.0000, 0.0000], [0.5000, 0.0000, 0.5000], [0.5000, 0.2337, 0.2150], [0.0000, 0.5000, 0.5000]],
  "formation_energy_uncorrected_ev_per_atom": -1.8990
}

=====

No. 16
{
  "formula": "Ba3Pm2YSe6",
  "functional": "PBE-GGA",
  "state": "relaxed",
  "lattice_angstrom": [[7.5298, 0.0024, 0.0002], [-3.7610, 6.5233, 0.0002], [-1.2570, -2.1764, 7.4030]],
  "species": ["Ba", "Se", "Y", "Se", "Pm", "Se", "Ba", "Se", "Ba", "Se", "Se", "Pm"],
  "frac_coords": [[0.5000, 0.5000, 0.5000], [0.6005, 0.9279, 0.7831], [0.0000, 0.0000, 0.0000], [0.7459, 0.7459, 0.2189], [0.6660, 0.3340, 0.0000], [0.2541, 0.2541, 0.7811], [0.8313, 0.1687, 0.5000], [0.3995, 0.0721, 0.2169], [0.1687, 0.8313, 0.5000], [0.0721, 0.3995, 0.2169], [0.9279, 0.6005, 0.7831], [0.3340, 0.6660, 0.0000]],
  "formation_energy_uncorrected_ev_per_atom": -1.9050
}

=====

No. 17
{
  "formula": "BaPmSi2",
  "functional": "PBE-GGA",
  "state": "relaxed",
  "lattice_angstrom": [[-2.5172, 2.8807, -0.7829], [-2.0295, -2.9902, -4.4770], [-3.2369, -1.6122, 4.4751]],
  "species": ["Pm", "Si", "Si", "Ba"],
  "frac_coords": [[0.5000, 0.6014, 0.3986], [0.5000, 0.1335, 0.5283], [0.5000, 0.4717, 0.8665], [0.0000, 0.0085, 0.9915]],
  "formation_energy_uncorrected_ev_per_atom": -0.1541
}

=====

No. 18
{
  "formula": "BaPm4Si4",
  "functional": "PBE-GGA",
  "state": "relaxed",
  "lattice_angstrom": [[-1.0972, -4.9747, -2.8771], [9.2833, -2.7469, 1.2092], [-2.3790, -4.3384, 8.4086]],
  "species": ["Si", "Si", "Pm", "Si", "Pm", "Ba", "Si", "Si", "Si", "Pm", "Pm", "Si", "Si", "Pm", "Ba", "Pm", "Pm", "Pm"],
  "frac_coords": [[0.3844, 0.6820, 0.8169], [0.6156, 0.8169, 0.3180], [0.3770, 0.6334, 0.1205], [0.8844, 0.3169, 0.8180], [0.8770, 0.3795, 0.1334], [0.5000, 0.5000, 0.5000], [0.8844, 0.6831, 0.1820], [0.1156, 0.8180, 0.6831], [0.3844, 0.3180, 0.1831], [0.1230, 0.8666, 0.3795], [0.3770, 0.3666, 0.8795], [0.1156, 0.1820, 0.3169], [0.6156, 0.1831, 0.6820], [0.8770, 0.6205, 0.8666], [0.0000, 0.0000, 0.0000], [0.6230, 0.1205, 0.3666], [0.1230, 0.1334, 0.6205], [0.6230, 0.8795, 0.6334]],
  "formation_energy_uncorrected_ev_per_atom": -0.4816
}

=====

No. 19
{
  "formula": "BaPm2Si",
  "functional": "PBE-GGA",
  "state": "relaxed",
  "lattice_angstrom": [[4.2423, 0.0000, 0.0000], [2.1212, 3.6740, 0.0000], [2.1212, 1.2247, 10.1029]],
  "species": ["Pm", "Pm", "Si", "Ba"],
  "frac_coords": [[0.7183, 0.7183, 0.8451], [0.2817, 0.2817, 0.1549], [0.0000, 0.0000, 0.0000], [0.5000, 0.5000, 0.5000]],
  "e_above_lowest_polymorph_ev_per_atom": 0.000,
  "formation_energy_uncorrected_ev_per_atom": -0.1823
}

=====

No. 20
{
  "formula": "BaPm2Si",
  "functional": "PBE-GGA",
  "state": "relaxed",
  "lattice_angstrom": [[3.8056, 0.0000, 0.0000], [0.0000, 3.8056, 0.0000], [0.0000, 0.0000, 9.5869]],
  "species": ["Pm", "Si", "Ba", "Pm"],
  "frac_coords": [[0.0000, 0.0000, 0.1607], [0.5000, 0.5000, 0.0000], [0.5000, 0.5000, 0.5000], [0.0000, 0.0000, 0.8393]],
  "e_above_lowest_polymorph_ev_per_atom": 0.038,
  "formation_energy_uncorrected_ev_per_atom": -0.1447
}

=====

Asked for magnetization across the records above, the calculation gives 0.000; 0.000; 0.000; 0.000; 0.000; 0.000; 0.000; 0.000; 0.000; 0.000; 0.000; 0.000; 0.000; 2.004; 0.000; 0.000; 0.000; 0.000; 0.907; 0.000 μB per cell in order.